Below is a geometry-optimized YHoCu4 structure, with properties calculated at the GGA-PBE level.

```
YHoCu4
1.0
3.416 0.000 0.000
0.000 3.416 0.000
0.000 0.000 8.863
Y Ho Cu
1 1 4
Cartesian
0.000 0.000 0.000
1.708 1.708 4.432
0.000 0.000 2.837
0.000 0.000 6.026
1.708 1.708 1.658
1.708 1.708 7.205
```

Values from the calculation:
E_form: -0.1798 eV/atom
V: 17.2 Å³/atom
Total energy: -4.50 eV per atom
E above lowest polymorph: 0.091 eV/atom